[1]
LiIn2Au, relaxed, DFT PBE-GGA; electronic total energy = -2.895 eV per atom; mass density = 8.68 Mg/m³
1.0
4.6244 -1.5669 -0.3366
0.9307 -4.5954 -1.4033
1.9773 -0.8644 -4.3928
Au In Li
1 2 1
Cartesian
3.7662 -3.5134 -3.0663 Au
0.0000 0.0000 0.0000 In
1.8831 -1.7567 -1.5332 In
5.6493 -5.2700 -4.5995 Li

[2]
Sr3Ni, relaxed, DFT PBE-GGA; total magnetization = 0.087 μB per formula unit; electronic total energy = -2.297 eV per atom; mass density = 3.68 Mg/m³
1.0
-4.4417 -2.4032 1.4442
-1.1637 -0.8814 -5.0457
2.5509 -4.5866 0.2129
Ni Sr
1 3
Cartesian
0.0000 0.0000 0.0000 Ni
-2.8027 -1.6423 -1.8007 Sr
-0.9454 -3.4949 0.8286 Sr
0.6936 -2.7340 -2.4164 Sr

[3]
SrTmW, relaxed, DFT PBE-GGA; total magnetization = 2.614 μB per formula unit; electronic total energy = -5.028 eV per atom; mass density = 7.63 Mg/m³
1.0
0.0000 3.6320 3.6320
3.6320 0.0000 3.6320
3.6320 3.6320 0.0000
Sr Tm W
1 1 1
Cartesian
1.8160 1.8160 1.8160 Sr
5.4480 5.4480 5.4480 Tm
0.0000 0.0000 0.0000 W